{"formula": "GeAu3S", "functional": "PBE", "state": "relaxed", "sg": "Pm-3m", "e_form_raw_ev_per_atom": 0.77, "de_polymorph_mev_per_atom": 161, "lattice_angstrom": [[4.897, 0.000, 0.000], [0.000, 4.897, 0.000], [0.000, 0.000, 4.897]], "species": ["Ge", "Au", "Au", "Au", "S"], "fractional_positions": [[0.000, 0.000, 0.000], [0.000, 0.000, 0.500], [0.000, 0.500, 0.000], [0.500, 0.000, 0.000], [0.500, 0.500, 0.500]]}



{"formula": "Fe2H2Rh", "functional": "PBE", "state": "relaxed", "sg": "I4/mmm", "de_polymorph_mev_per_atom": 116, "lattice_angstrom": [[3.143, 0.000, 0.000], [0.000, 3.143, 0.000], [0.000, 0.000, 8.773]], "species": ["Fe", "Fe", "Fe", "Fe", "H", "H", "H", "H", "Rh", "Rh"], "fractional_positions": [[0.000, 0.000, 0.168], [0.000, 0.000, 0.832], [0.500, 0.500, 0.332], [0.500, 0.500, 0.668], [0.000, 0.500, 0.250], [0.000, 0.500, 0.750], [0.500, 0.000, 0.250], [0.500, 0.000, 0.750], [0.000, 0.000, 0.500], [0.500, 0.500, 0.000]]}



{"formula": "ScTa2W", "functional": "PBE", "state": "relaxed", "ef_mev_per_atom": 145.8, "sg": "Imm2", "lattice_angstrom": [[3.302, 0.000, 0.000], [0.000, 4.723, 0.000], [0.000, 0.000, 9.474]], "species": ["Sc", "Sc", "Ta", "Ta", "Ta", "Ta", "W", "W"], "fractional_positions": [[0.000, 0.000, 0.000], [0.500, 0.500, 0.500], [0.000, 0.000, 0.530], [0.000, 0.500, 0.767], [0.500, 0.000, 0.267], [0.500, 0.500, 0.030], [0.000, 0.500, 0.250], [0.500, 0.000, 0.750]]}



{"formula": "Cd3W", "functional": "PBE", "state": "relaxed", "ef_mev_per_atom": 473.6, "sg": "Cmmm", "de_polymorph_mev_per_atom": 89, "lattice_angstrom": [[5.929, 0.000, 0.000], [0.000, 8.940, 0.000], [0.000, 0.000, 2.905]], "species": ["Cd", "Cd", "Cd", "Cd", "Cd", "Cd", "W", "W"], "fractional_positions": [[0.000, 0.000, 0.000], [0.250, 0.250, 0.500], [0.250, 0.750, 0.500], [0.500, 0.500, 0.000], [0.750, 0.250, 0.500], [0.750, 0.750, 0.500], [0.000, 0.500, 0.000], [0.500, 0.000, 0.000]]}



{"formula": "TiBe4Al", "functional": "PBE", "state": "relaxed", "ef_mev_per_atom": -61.2, "sg": "F-43m", "lattice_angstrom": [[0.000, 3.177, 3.177], [3.177, 0.000, 3.177], [3.177, 3.177, 0.000]], "species": ["Ti", "Be", "Be", "Be", "Be", "Al"], "fractional_positions": [[0.000, 0.000, 0.000], [0.117, 0.628, 0.628], [0.628, 0.117, 0.628], [0.628, 0.628, 0.117], [0.628, 0.628, 0.628], [0.250, 0.250, 0.250]]}



{"formula": "PmZn2PRh2", "functional": "PBE", "state": "relaxed", "ef_mev_per_atom": -558.7, "sg": "P4/mmm", "lattice_angstrom": [[4.464, 0.000, 0.000], [0.000, 4.464, 0.000], [0.000, 0.000, 5.570]], "species": ["Pm", "Zn", "Zn", "P", "Rh", "Rh"], "fractional_positions": [[0.000, 0.000, 0.000], [0.500, 0.500, 0.228], [0.500, 0.500, 0.772], [0.000, 0.000, 0.500], [0.000, 0.500, 0.500], [0.500, 0.000, 0.500]]}



{"formula": "Ba2Tl2Ag", "functional": "PBE", "state": "relaxed", "ef_mev_per_atom": -133.9, "sg": "I4/mmm", "de_polymorph_mev_per_atom": 179, "lattice_angstrom": [[4.413, 0.000, 0.000], [0.000, 4.413, 0.000], [0.000, 0.000, 20.053]], "species": ["Ba", "Ba", "Ba", "Ba", "Tl", "Tl", "Tl", "Tl", "Ag", "Ag"], "fractional_positions": [[0.000, 0.000, 0.097], [0.000, 0.000, 0.903], [0.500, 0.500, 0.403], [0.500, 0.500, 0.597], [0.000, 0.500, 0.250], [0.000, 0.500, 0.750], [0.500, 0.000, 0.250], [0.500, 0.000, 0.750], [0.000, 0.000, 0.500], [0.500, 0.500, 0.000]]}



{"formula": "CaMn2Re", "functional": "PBE", "state": "relaxed", "ef_mev_per_atom": 864.2, "sg": "I-42d", "de_polymorph_mev_per_atom": 491, "lattice_angstrom": [[7.225, 0.000, 0.000], [0.000, 7.225, 0.000], [0.000, 0.000, 5.826]], "species": ["Ca", "Ca", "Ca", "Ca", "Mn", "Mn", "Mn", "Mn", "Mn", "Mn", "Mn", "Mn", "Re", "Re", "Re", "Re"], "fractional_positions": [[0.000, 0.000, 0.000], [0.000, 0.500, 0.250], [0.500, 0.000, 0.750], [0.500, 0.500, 0.500], [0.187, 0.250, 0.625], [0.250, 0.687, 0.875], [0.250, 0.813, 0.375], [0.313, 0.250, 0.125], [0.687, 0.750, 0.125], [0.750, 0.187, 0.375], [0.750, 0.313, 0.875], [0.813, 0.750, 0.625], [0.000, 0.000, 0.500], [0.000, 0.500, 0.750], [0.500, 0.000, 0.250], [0.500, 0.500, 0.000]]}



{"formula": "CaTi2Os", "functional": "PBE", "state": "relaxed", "ef_mev_per_atom": 149.1, "sg": "Fm-3m", "de_polymorph_mev_per_atom": 0, "lattice_angstrom": [[6.560, 0.000, 0.000], [0.000, 6.560, 0.000], [0.000, 0.000, 6.560]], "species": ["Ca", "Ca", "Ca", "Ca", "Ti", "Ti", "Ti", "Ti", "Ti", "Ti", "Ti", "Ti", "Os", "Os", "Os", "Os"], "fractional_positions": [[0.000, 0.000, 0.000], [0.000, 0.500, 0.500], [0.500, 0.000, 0.500], [0.500, 0.500, 0.000], [0.250, 0.250, 0.250], [0.250, 0.250, 0.750], [0.250, 0.750, 0.250], [0.250, 0.750, 0.750], [0.750, 0.250, 0.250], [0.750, 0.250, 0.750], [0.750, 0.750, 0.250], [0.750, 0.750, 0.750], [0.000, 0.000, 0.500], [0.000, 0.500, 0.000], [0.500, 0.000, 0.000], [0.500, 0.500, 0.500]]}



{"formula": "Tc2PbS", "functional": "PBE", "state": "relaxed", "sg": "Fm-3m", "e_form_raw_ev_per_atom": 0.71, "de_polymorph_mev_per_atom": 35, "lattice_angstrom": [[6.416, 0.000, 0.000], [0.000, 6.416, 0.000], [0.000, 0.000, 6.416]], "species": ["Tc", "Tc", "Tc", "Tc", "Tc", "Tc", "Tc", "Tc", "Pb", "Pb", "Pb", "Pb", "S", "S", "S", "S"], "fractional_positions": [[0.250, 0.250, 0.250], [0.250, 0.250, 0.750], [0.250, 0.750, 0.250], [0.250, 0.750, 0.750], [0.750, 0.250, 0.250], [0.750, 0.250, 0.750], [0.750, 0.750, 0.250], [0.750, 0.750, 0.750], [0.000, 0.000, 0.000], [0.000, 0.500, 0.500], [0.500, 0.000, 0.500], [0.500, 0.500, 0.000], [0.000, 0.000, 0.500], [0.000, 0.500, 0.000], [0.500, 0.000, 0.000], [0.500, 0.500, 0.500]]}



{"formula": "BeAg2Hg", "functional": "PBE", "state": "relaxed", "ef_mev_per_atom": 442.4, "sg": "I-42d", "de_polymorph_mev_per_atom": 291, "lattice_angstrom": [[3.898, 0.000, 0.000], [0.000, 3.898, 0.000], [0.000, 0.000, 19.464]], "species": ["Be", "Be", "Be", "Be", "Ag", "Ag", "Ag", "Ag", "Ag", "Ag", "Ag", "Ag", "Hg", "Hg", "Hg", "Hg"], "fractional_positions": [[0.000, 0.000, 0.000], [0.000, 0.500, 0.250], [0.500, 0.000, 0.750], [0.500, 0.500, 0.500], [0.238, 0.250, 0.125], [0.250, 0.738, 0.375], [0.250, 0.762, 0.875], [0.262, 0.250, 0.625], [0.738, 0.750, 0.625], [0.750, 0.238, 0.875], [0.750, 0.262, 0.375], [0.762, 0.750, 0.125], [0.000, 0.000, 0.500], [0.000, 0.500, 0.750], [0.500, 0.000, 0.250], [0.500, 0.500, 0.000]]}



{"formula": "TbAl3Au", "functional": "PBE", "state": "relaxed", "ef_mev_per_atom": -511.2, "sg": "Pnma", "de_polymorph_mev_per_atom": 80, "lattice_angstrom": [[8.424, 0.000, 0.000], [0.000, 4.251, 0.000], [0.000, 0.000, 11.006]], "species": ["Tb", "Tb", "Tb", "Tb", "Al", "Al", "Al", "Al", "Al", "Al", "Al", "Al", "Al", "Al", "Al", "Al", "Au", "Au", "Au", "Au"], "fractional_positions": [[0.182, 0.250, 0.008], [0.318, 0.750, 0.508], [0.682, 0.250, 0.492], [0.818, 0.750, 0.992], [0.073, 0.250, 0.596], [0.106, 0.750, 0.806], [0.133, 0.750, 0.209], [0.367, 0.250, 0.709], [0.394, 0.250, 0.306], [0.427, 0.750, 0.096], [0.573, 0.250, 0.904], [0.606, 0.750, 0.694], [0.633, 0.750, 0.291], [0.867, 0.250, 0.791], [0.894, 0.250, 0.194], [0.927, 0.750, 0.404], [0.102, 0.250, 0.360], [0.398, 0.750, 0.860], [0.602, 0.250, 0.140], [0.898, 0.750, 0.640]]}



{"formula": "NpZn3Ge3", "functional": "PBE", "state": "relaxed", "ef_mev_per_atom": 385.0, "sg": "Pm-3n", "lattice_angstrom": [[6.828, 0.000, 0.000], [0.000, 6.828, 0.000], [0.000, 0.000, 6.828]], "species": ["Np", "Np", "Zn", "Zn", "Zn", "Zn", "Zn", "Zn", "Ge", "Ge", "Ge", "Ge", "Ge", "Ge"], "fractional_positions": [[0.000, 0.000, 0.000], [0.500, 0.500, 0.500], [0.000, 0.250, 0.500], [0.000, 0.750, 0.500], [0.250, 0.500, 0.000], [0.500, 0.000, 0.250], [0.500, 0.000, 0.750], [0.750, 0.500, 0.000], [0.000, 0.500, 0.250], [0.000, 0.500, 0.750], [0.250, 0.000, 0.500], [0.500, 0.250, 0.000], [0.500, 0.750, 0.000], [0.750, 0.000, 0.500]]}



| no. | M_tot (μB per formula unit) |
| --- | --- |
| 1 | 0.0 |
| 2 | 5.7 |
| 3 | 0.0 |
| 4 | 0.0 |
| 5 | 1.3 |
| 6 | 0.0 |
| 7 | 0.0 |
| 8 | 4.2 |
| 9 | 0.0 |
| 10 | 0.0 |
| 11 | 0.0 |
| 12 | 0.0 |
| 13 | 4.4 |